1.
DFT (PBE-GGA) results for an optimized crystal structure of Pr3HoTl3.

Results
ΔE_f: -211.2 meV per atom
distance to the lowest polymorph of the same formula: 62 meV per atom

a b c (Å): 6.911 6.911 9.767
angles (deg): 91.05 91.05 104.49
Fractional coordinates of all 14 atoms:
Tl1 0.945 0.523 0.736
Tl2 0.055 0.477 0.264
Pr1 0.758 0.242 0.000
Tl3 0.477 0.055 0.264
Pr2 0.591 0.591 0.317
Tl4 0.032 0.032 0.771
Pr3 0.180 0.820 0.500
Pr4 0.242 0.758 0.000
Pr5 0.820 0.180 0.500
Tl5 0.523 0.945 0.736
Ho1 0.724 0.724 0.956
Pr6 0.409 0.409 0.683
Tl6 0.968 0.968 0.229
Ho2 0.276 0.276 0.044

***

2.
DFT (PBE-GGA) results for an optimized crystal structure of CdTc2Mo.

Results
ΔE_f: 373.6 meV per atom

a b c (Å): 4.209 2.759 5.855
angles (deg): 72.86 90.00 90.00
Fractional coordinates of all 4 atoms:
Mo1 0.500 0.750 0.750
Tc1 0.000 0.929 0.983
Tc2 0.000 0.571 0.517
Cd1 0.500 0.250 0.250

***

3.
DFT (PBE-GGA) results for an optimized crystal structure of ZrV2Pt.

Results
ΔE_f: 139.7 meV per atom
distance to the lowest polymorph of the same formula: 342 meV per atom

a b c (Å): 7.270 7.270 5.792
angles (deg): 51.13 51.13 90.00
Fractional coordinates of all 8 atoms:
Zr1 0.250 0.750 0.500
V1 0.375 0.345 0.750
Zr2 0.500 0.500 0.000
V2 0.655 0.125 0.250
V3 0.095 0.625 0.250
Pt1 0.750 0.250 0.500
V4 0.875 0.905 0.750
Pt2 0.000 0.000 0.000

***

4.
DFT (PBE-GGA) results for an optimized crystal structure of Pu2Tl3Pd2.

Results
ΔE_f: -242.0 meV per atom

a b c (Å): 3.669 4.485 10.859
angles (deg): 101.92 90.00 90.00
Fractional coordinates of all 7 atoms:
Pu1 0.000 0.829 0.658
Tl1 0.500 0.578 0.156
Pd1 0.500 0.288 0.577
Pd2 0.500 0.712 0.423
Tl2 0.500 0.422 0.844
Tl3 0.000 0.000 0.000
Pu2 0.000 0.171 0.342